The following is a PBE calculation of a geometry-optimized K2NbI4Br2 structure, from Alexandria.

Raw total energy, Ha/atom: -0.1262
Theoretical density, g cm⁻³: 3.90
Spin magnetization, μB per formula unit: 1.00
ΔE_f (raw), eV per atom: -1.011

Unit cell a=13.3264 b=8.2698 c=8.2245 alpha=90.00 beta=127.94 gamma=90.00
With the nearest neighbours (Å) after each atom.
Space group C2/m (No. 12)
Unique sites:
K (0.2483, 0.0000, 0.2668) [4 per cell]  1 Br 3.44, 4 I 3.75-3.77
Nb (0.0000, 0.0000, 0.5000) [2 per cell]  2 Br 2.57, 4 I 2.84
I (0.0382, 0.2421, 0.7777) [8 per cell]  1 Nb 2.84
Br (0.2395, 0.0000, 0.6757) [4 per cell]  1 Nb 2.57